No. 1
This record from Alexandria via LeMat-Bulk describes a relaxed Li3Ca2MoO6 crystal. The functional is PBE+U.

Calculated values
Total magnetic moment, μB/f.u.: 1.0
E, eV/atom: -6.13
V, Å³/cell: 140
ρ, Mg/m³: 3.471

a = 5.755 Å, b = 5.755 Å, c = 5.237 Å
α = 98.57°, β = 98.57°, γ = 121.90°
Positions (direct):
Li 0.134 0.866 0.500
Li 0.866 0.134 0.500
Li 0.500 0.500 0.500
Ca 0.328 0.672 0.000
Ca 0.672 0.328 0.000
Mo 0.000 0.000 0.000
O 0.927 0.638 0.761
O 0.776 0.776 0.226
O 0.073 0.362 0.239
O 0.638 0.927 0.761
O 0.224 0.224 0.774
O 0.362 0.073 0.239



No. 2
This record from Alexandria via LeMat-Bulk describes a relaxed LiCa2MoO5 crystal. The functional is PBE+U.

Calculated values
Total magnetic moment, μB/f.u.: 1.0
E, eV/atom: -6.24
V, Å³/cell: 253
ρ, Mg/m³: 3.454

a = 6.535 Å, b = 6.535 Å, c = 7.511 Å
α = 115.79°, β = 115.79°, γ = 90.00°
Positions (direct):
Li 0.250 0.250 0.500
Li 0.750 0.750 0.500
Ca 0.190 0.310 0.000
Ca 0.690 0.190 0.000
Ca 0.310 0.810 0.000
Ca 0.810 0.690 0.000
Mo 0.250 0.750 0.500
Mo 0.750 0.250 0.500
O 0.995 0.495 0.297
O 0.698 0.198 0.703
O 0.005 0.505 0.703
O 0.198 0.005 0.703
O 0.505 0.698 0.703
O 0.802 0.995 0.297
O 0.495 0.302 0.297
O 0.302 0.802 0.297
O 0.500 0.500 0.000
O 0.000 0.000 0.000



No. 3
This record from Alexandria via LeMat-Bulk describes a relaxed LiCaMoO4 crystal. The functional is PBE+U.

Calculated values
Total magnetic moment, μB/f.u.: 1.0
E, eV/atom: -6.53
V, Å³/cell: 173
ρ, Mg/m³: 3.963

a = 6.439 Å, b = 6.116 Å, c = 6.116 Å
α = 70.10°, β = 58.24°, γ = 58.24°
Positions (direct):
Li 0.000 0.000 0.000
Li 0.000 0.500 0.500
Ca 0.500 0.000 0.500
Ca 0.000 0.000 0.500
Mo 0.715 0.535 0.035
Mo 0.285 0.465 0.965
O 0.757 0.761 0.726
O 0.243 0.774 0.739
O 0.757 0.226 0.261
O 0.243 0.239 0.274
O 0.312 0.681 0.181
O 0.826 0.681 0.181
O 0.174 0.319 0.819
O 0.688 0.319 0.819



No. 4
This record from Alexandria via LeMat-Bulk describes a relaxed LiCa2MoO4 crystal. The functional is PBE+U.

Calculated values
Total magnetic moment, μB/f.u.: 3.0
E, eV/atom: -6.43
V, Å³/cell: 98
ρ, Mg/m³: 4.165

a = 3.332 Å, b = 5.637 Å, c = 5.539 Å
α = 108.80°, β = 90.00°, γ = 90.00°
Positions (direct):
Li 0.500 0.500 0.000
Ca 0.500 0.000 0.500
Ca 0.000 0.500 0.500
Mo 0.000 0.000 0.000
O 0.500 0.236 0.224
O 0.500 0.764 0.776
O 0.000 0.241 0.758
O 0.000 0.759 0.242



No. 5
This record from Alexandria via LeMat-Bulk describes a relaxed Li2CaMoO4 crystal. The functional is PBE+U.

Calculated values
Total magnetic moment, μB/f.u.: 2.0
E, eV/atom: -6.16
V, Å³/cell: 96
ρ, Mg/m³: 3.683

a = 5.329 Å, b = 5.075 Å, c = 5.075 Å
α = 84.01°, β = 58.27°, γ = 58.27°
Positions (direct):
Li 0.500 0.750 0.250
Li 0.500 0.250 0.750
Ca 0.000 0.000 0.000
Mo 0.000 0.500 0.500
O 0.558 0.567 0.876
O 0.442 0.124 0.433
O 0.000 0.433 0.125
O 0.000 0.875 0.567